4
Lattice="-1.395 0.212 2.320 1.908 -1.448 1.280 3.689 6.309 1.641" Properties=species:S:1:pos:R:3 comment="AlFe2Ag, optimized geometry, DFT GGA-PBE" mass_density_g_cm3=7.410 delta_e_f_ev_per_atom=0.066 space_group="P4/mmm, No. 123" pbc="T T T"
Fe 3.606 6.166 1.603
Fe 1.928 3.297 0.857
Ag 1.179 0.959 2.210
Al 3.023 4.113 3.031

4
Lattice="4.723 0.022 -0.034 -1.847 4.347 -0.034 0.020 0.030 2.699" Properties=species:S:1:pos:R:3 comment="AlFe2Ag, optimized geometry, DFT GGA-PBE" mass_density_g_cm3=7.373 delta_e_f_ev_per_atom=0.102 space_group="Cmmm, No. 65" pbc="T T T"
Fe 0.000 0.000 0.000
Fe 1.438 2.184 -0.034
Ag 2.371 0.026 1.333
Al -0.914 2.189 1.333

4
Lattice="-0.713 0.613 2.750 -1.699 -3.306 0.296 4.716 -2.268 1.728" Properties=species:S:1:pos:R:3 comment="Al2FeAg, optimized geometry, DFT GGA-PBE" mass_density_g_cm3=6.053 delta_e_f_ev_per_atom=-0.016 space_group="Pmm2, No. 25" pbc="T T T"
Fe 2.188 -1.052 0.802
Ag 2.378 -3.071 2.836
Al 4.698 -2.260 1.721
Al 0.114 -1.982 2.006

4
Lattice="-2.836 3.240 -1.346 -3.519 -0.440 2.789 4.368 0.382 1.062" Properties=species:S:1:pos:R:3 comment="AlFe2Ag, optimized geometry, DFT GGA-PBE" mass_density_g_cm3=7.422 delta_e_f_ev_per_atom=0.095 space_group="I-4m2, No. 119" pbc="T T T"
Fe 0.000 0.000 0.000
Fe -1.164 0.672 2.286
Ag -3.177 1.400 0.721
Al -0.823 2.512 0.219

What electronic total energy values result from the calculations? In sequence: -5.8143 -5.7777 -4.7162 -5.7848 eV/atom.